(1)
First-principles (PBE) data for a relaxed Dy2CoSi5 crystal, as listed in the Alexandria database.

abc: 5.9562 5.9562 5.9562
angles: 85.00 122.93 122.93
Positions (direct):
Dy1 0.5000 0.2277 0.7277
Dy2 0.5000 0.7277 0.2277
Co1 0.0000 0.0318 0.0318
Si1 0.4362 0.7054 0.7054
Si2 0.0000 0.7054 0.2692
Si3 0.0000 0.2692 0.7054
Si4 0.5638 0.2692 0.2692
Si5 0.0000 0.2857 0.2857

Properties
**Size of the total moment**: 0.00 μB per formula unit
**ΔE_f (raw)**: -457.7 meV per atom
**Energy**: -47.09 eV per formula unit
**ρ**: 6.12 g/cm3

***

(2)
First-principles (PBE) data for a relaxed DyCo4Si4 crystal, as listed in the Alexandria database.

abc: 4.1719 7.7478 7.7478
angles: 90.00 90.00 90.00
Positions (direct):
Dy1 0.0000 0.0000 0.0000
Dy2 0.5000 0.5000 0.5000
Co1 0.5000 0.3879 0.8864
Co2 0.0000 0.6136 0.8879
Co3 0.5000 0.6121 0.1136
Co4 0.0000 0.1121 0.6136
Co5 0.5000 0.8864 0.6121
Co6 0.0000 0.8879 0.3864
Co7 0.0000 0.3864 0.1121
Co8 0.5000 0.1136 0.3879
Si1 0.5000 0.8407 0.2880
Si2 0.5000 0.1593 0.7120
Si3 0.0000 0.7880 0.6593
Si4 0.0000 0.3407 0.7880
Si5 0.0000 0.6593 0.2120
Si6 0.5000 0.2880 0.1593
Si7 0.5000 0.7120 0.8407
Si8 0.0000 0.2120 0.3407

Properties
**Size of the total moment**: 0.00 μB per formula unit
**ΔE_f (raw)**: -545.6 meV per atom
**Energy**: -59.63 eV per formula unit
**ρ**: 6.77 g/cm3

***

(3)
First-principles (PBE) data for a relaxed Dy3Co2Si2 crystal, as listed in the Alexandria database.

abc: 5.5146 7.6229 12.5461
angles: 90.00 90.00 90.00
Positions (direct):
Dy1 0.1400 0.6068 0.1014
Dy2 0.8600 0.3932 0.6014
Dy3 0.8600 0.1068 0.3986
Dy4 0.1400 0.8932 0.8986
Dy5 0.8600 0.3932 0.8986
Dy6 0.1400 0.6068 0.3986
Dy7 0.1400 0.8932 0.6014
Dy8 0.8600 0.1068 0.1014
Dy9 0.3692 0.2505 0.2500
Dy10 0.6308 0.7495 0.7500
Dy11 0.6308 0.7505 0.2500
Dy12 0.3692 0.2495 0.7500
Co1 0.6317 0.4717 0.0868
Co2 0.3683 0.5283 0.5868
Co3 0.3683 0.9717 0.4132
Co4 0.6317 0.0283 0.9132
Co5 0.3683 0.5283 0.9132
Co6 0.6317 0.4717 0.4132
Co7 0.6317 0.0283 0.5868
Co8 0.3683 0.9717 0.0868
Si1 0.3885 0.2500 0.0000
Si2 0.6115 0.7500 0.5000
Si3 0.6115 0.7500 0.0000
Si4 0.3885 0.2500 0.5000
Si5 0.8450 0.4018 0.2500
Si6 0.1550 0.5982 0.7500
Si7 0.1550 0.9018 0.2500
Si8 0.8450 0.0982 0.7500

Properties
**Size of the total moment**: 0.00 μB per formula unit
**ΔE_f (raw)**: -643.8 meV per atom
**Energy**: -43.37 eV per formula unit
**ρ**: 8.33 g/cm3

***

(4)
First-principles (PBE) data for a relaxed DyCo2Si2 crystal, as listed in the Alexandria database.

abc: 5.6007 5.6007 5.6007
angles: 139.54 139.54 58.56
Positions (direct):
Dy1 0.0000 0.0000 0.0000
Co1 0.7500 0.2500 0.5000
Co2 0.2500 0.7500 0.5000
Si1 0.6281 0.6281 0.0000
Si2 0.3719 0.3719 0.0000

Properties
**Size of the total moment**: 0.00 μB per formula unit
**ΔE_f (raw)**: -827.6 meV per atom
**Energy**: -33.80 eV per formula unit
**ρ**: 7.62 g/cm3

***

(5)
First-principles (PBE) data for a relaxed Dy2CoSi3 crystal, as listed in the Alexandria database.

abc: 5.6632 5.6632 7.9816
angles: 110.91 110.91 89.66
Positions (direct):
Dy1 0.2500 0.7500 0.5000
Dy2 0.7496 0.7496 0.0000
Dy3 0.7500 0.2500 0.5000
Dy4 0.2504 0.2504 0.0000
Co1 0.6661 0.6661 0.3322
Co2 0.3339 0.3339 0.6678
Si1 0.3438 0.8282 0.1721
Si2 0.1718 0.6562 0.8279
Si3 0.6562 0.1718 0.8279
Si4 0.8282 0.3438 0.1721
Si5 0.1719 0.1719 0.3439
Si6 0.8281 0.8281 0.6561

Properties
**Size of the total moment**: 0.00 μB per formula unit
**ΔE_f (raw)**: -772.7 meV per atom
**Energy**: -37.22 eV per formula unit
**ρ**: 7.03 g/cm3

***

(6)
First-principles (PBE) data for a relaxed DyCoSi2 crystal, as listed in the Alexandria database.

abc: 4.0481 8.4039 8.9440
angles: 118.02 103.08 90.00
Positions (direct):
Dy1 0.7070 0.7070 0.4141
Dy2 0.5000 0.2581 0.0000
Dy3 0.5000 0.7419 0.0000
Dy4 0.2930 0.2930 0.5859
Co1 0.8532 0.6046 0.7065
Co2 0.1468 0.3954 0.2935
Co3 0.1468 0.8982 0.2935
Co4 0.8532 0.1018 0.7065
Si1 0.9228 0.4228 0.8455
Si2 0.6958 0.3533 0.3915
Si3 0.6958 0.0382 0.3915
Si4 0.3042 0.6467 0.6085
Si5 0.0852 0.0852 0.1705
Si6 0.0772 0.5772 0.1545
Si7 0.9148 0.9148 0.8295
Si8 0.3042 0.9618 0.6085

Properties
**Size of the total moment**: 0.00 μB per formula unit
**ΔE_f (raw)**: -732.0 meV per atom
**Energy**: -25.48 eV per formula unit
**ρ**: 7.10 g/cm3

***

(7)
First-principles (PBE) data for a relaxed Dy2CoSi2 crystal, as listed in the Alexandria database.

abc: 4.1345 5.6186 8.9579
angles: 83.17 76.66 68.40
Positions (direct):
Si1 0.9951 0.1362 0.8733
Si2 0.1525 0.2621 0.4333
Si3 0.0049 0.8638 0.1267
Si4 0.8475 0.7379 0.5667
Co1 0.7734 0.0749 0.3793
Co2 0.2266 0.9251 0.6207
Dy1 0.3141 0.2667 0.1057
Dy2 0.4988 0.3304 0.6719
Dy3 0.6859 0.7333 0.8943
Dy4 0.5012 0.6696 0.3281

Properties
**Size of the total moment**: 0.39 μB per formula unit
**ΔE_f (raw)**: -764.9 meV per atom
**Energy**: -30.98 eV per formula unit
**ρ**: 7.77 g/cm3

***

(8)
First-principles (PBE) data for a relaxed DyCo4Si2 crystal, as listed in the Alexandria database.

abc: 3.6031 7.1445 7.1445
angles: 90.00 90.00 90.00
Positions (direct):
Dy1 0.5000 0.0000 0.0000
Dy2 0.0000 0.5000 0.5000
Co1 0.0000 0.0799 0.3472
Co2 0.0000 0.9201 0.6528
Co3 0.5000 0.1528 0.5799
Co4 0.5000 0.8472 0.4201
Co5 0.5000 0.4201 0.8472
Co6 0.5000 0.5799 0.1528
Co7 0.0000 0.3472 0.0799
Co8 0.0000 0.6528 0.9201
Si1 0.0000 0.2246 0.7754
Si2 0.0000 0.7754 0.2246
Si3 0.5000 0.7246 0.7246
Si4 0.5000 0.2754 0.2754

Properties
**Size of the total moment**: 0.01 μB per formula unit
**ΔE_f (raw)**: -555.8 meV per atom
**Energy**: -47.76 eV per formula unit
**ρ**: 8.21 g/cm3